Density functional theory data (PBE+U) for a relaxed Na2CeWO6 crystal.

Cell: 5.9099 5.9099 5.9099 Å, 60.00 60.00 60.00°
With the nearest neighbours (Å) after each atom.
Positions (direct):
Na 0.2500 0.2500 0.2500  12 O 2.96
Na 0.7500 0.7500 0.7500  12 O 2.96
Ce 0.0000 0.0000 0.0000  6 O 2.23
W 0.5000 0.5000 0.5000  6 O 1.95
O 0.2669 0.7331 0.2669  1 W 1.95
O 0.7331 0.2669 0.7331  1 W 1.95
O 0.7331 0.7331 0.2669  1 W 1.95
O 0.2669 0.2669 0.7331  1 W 1.95
O 0.2669 0.7331 0.7331  1 W 1.95
O 0.7331 0.2669 0.2669  1 W 1.95

Output
The value obtained for the magnetization is 0.00 μB per cell. Its symmetry is No. 225. The offset from the most stable computed form is 46 meV/atom. As for the density of states at the Fermi level: 0.0 states/eV/f.u. The value obtained for the total DFT energy (no corrections) is -69.11 eV/f.u.